The following is a DFT calculation (PBE) of a relaxed structure of ZnPtAu2.

a = 2.965 Å, b = 4.673 Å, c = 9.512 Å
α = 90.00°, β = 90.00°, γ = 90.00°
Space group Immm (No. 71)
Symmetry-distinct sites (fractional):
Zn1 0.000 0.000 0.000
Pt1 0.000 0.000 0.500
Au1 0.000 0.500 0.264

DOS(E_F): 2.54 states/eV/cell

The following is a DFT calculation (PBE) of a relaxed structure of YGe3B.

a = 4.529 Å, b = 4.529 Å, c = 4.529 Å
α = 90.00°, β = 90.00°, γ = 90.00°
Space group Pm-3m (No. 221)
Symmetry-distinct sites (fractional):
Y1 0.000 0.000 0.000
Ge1 0.000 0.500 0.500
B1 0.500 0.500 0.500

Energy relative to the lowest polymorph listed for this composition: 0 meV per atom
DOS(E_F): 2.62 states/eV/cell

The following is a DFT calculation (PBE) of a relaxed structure of NdSm2C.

a = 3.6639 Å, b = 3.6639 Å, c = 9.5105 Å
α = 90.00°, β = 90.00°, γ = 120.00°
Space group P-3m1 (No. 164)
Symmetry-distinct sites (fractional):
Nd1 0.0000 0.0000 0.0000
Sm1 0.3333 0.6667 0.6477
C1 0.0000 0.0000 0.5000

Energy relative to the lowest polymorph listed for this composition: 0 meV per atom
DOS(E_F): 5.26 states/eV/cell

The following is a DFT calculation (PBE) of a relaxed structure of FeCoRu2.

a = 8.550 Å, b = 2.636 Å, c = 4.579 Å
α = 90.00°, β = 100.15°, γ = 90.00°
Space group C2/m (No. 12)
Symmetry-distinct sites (fractional):
Fe1 0.000 0.000 0.000
Co1 0.000 0.500 0.500
Ru1 0.249 0.000 0.747

Energy relative to the lowest polymorph listed for this composition: 61 meV per atom
DOS(E_F): 10.70 states/eV/cell

no.,VASP energy (eV per atom),ΔE_f (eV per formula unit),calculated volume (Å³/f.u.)
1,-3.6067,-0.557,65.9
2,-5.1350,1.319,92.9
3,-5.9378,-0.321,110.6
4,-8.3542,0.704,50.8